[1]
VASP calculation (PBE) on a relaxed structure of LaH6IrRh.

a = 4.814 Å, b = 4.814 Å, c = 4.322 Å
α = 90.00°, β = 90.00°, γ = 120.00°
Positions (direct):
La 0.000 0.000 0.000
H 0.505 0.010 0.239
H 0.505 0.010 0.761
H 0.505 0.495 0.239
H 0.505 0.495 0.761
H 0.990 0.495 0.239
H 0.990 0.495 0.761
Ir 0.667 0.333 0.500
Rh 0.333 0.667 0.500

- VASP energy (Ry/atom) = -0.36019
- calculated density (Mg/m³) = 8.42

=====

[2]
VASP calculation (PBE) on a relaxed structure of Ho2Zn5Pd.

a = 8.481 Å, b = 8.481 Å, c = 9.121 Å
α = 90.00°, β = 90.00°, γ = 152.66°
Positions (direct):
Ho 0.000 0.000 0.000
Ho 0.000 0.000 0.500
Ho 0.184 0.816 0.750
Ho 0.816 0.184 0.250
Zn 0.199 0.801 0.107
Zn 0.199 0.801 0.393
Zn 0.358 0.642 0.022
Zn 0.358 0.642 0.478
Zn 0.392 0.608 0.750
Zn 0.608 0.392 0.250
Zn 0.642 0.358 0.522
Zn 0.642 0.358 0.978
Zn 0.801 0.199 0.607
Zn 0.801 0.199 0.893
Pd 0.453 0.547 0.250
Pd 0.547 0.453 0.750

- ΔE_f (meV per atom) = -436
- VASP energy (Ry/atom) = -0.22238
- calculated density (Mg/m³) = 8.41

=====

[3]
VASP calculation (PBE) on a relaxed structure of KMg2TlNi.

a = 5.085 Å, b = 5.085 Å, c = 5.092 Å
α = 90.00°, β = 90.00°, γ = 90.00°
Positions (direct):
K 0.000 0.000 0.000
Mg 0.000 0.500 0.500
Mg 0.500 0.000 0.500
Tl 0.500 0.500 0.000
Ni 0.500 0.500 0.500

- ΔE_f (meV per atom) = 3
- VASP energy (Ry/atom) = -0.18253
- calculated density (Mg/m³) = 4.42

=====

[4]
VASP calculation (PBE) on a relaxed structure of Cs2CdTcO6.

a = 6.598 Å, b = 6.598 Å, c = 5.744 Å
α = 90.00°, β = 90.00°, γ = 120.00°
Positions (direct):
Cs 0.333 0.667 0.188
Cs 0.667 0.333 0.812
Cd 0.000 0.000 0.500
Tc 0.000 0.000 0.000
O 0.135 0.269 0.804
O 0.135 0.865 0.804
O 0.269 0.135 0.196
O 0.731 0.865 0.804
O 0.865 0.135 0.196
O 0.865 0.731 0.196

- uncorrected formation energy (kJ/mol of formula units) = -1095.4
- VASP energy (Ry/atom) = -0.39755
- calculated density (Mg/m³) = 4.39

=====

[5]
VASP calculation (PBE) on a relaxed structure of NaCN2.

a = 4.577 Å, b = 4.577 Å, c = 4.577 Å
α = 118.82°, β = 118.82°, γ = 92.06°
Positions (direct):
Na 0.000 0.000 0.000
Na 0.750 0.250 0.500
C 0.250 0.750 0.500
C 0.500 0.500 0.000
N 0.266 0.625 0.141
N 0.375 0.516 0.641
N 0.484 0.125 0.859
N 0.875 0.734 0.359

- uncorrected formation energy (kJ/mol of formula units) = 240.3
- VASP energy (Ry/atom) = -0.45391
- calculated density (Mg/m³) = 3.03

=====

[6]
VASP calculation (PBE) on a relaxed structure of VAgS2N.

a = 4.850 Å, b = 4.850 Å, c = 3.863 Å
α = 90.00°, β = 90.00°, γ = 90.00°
Positions (direct):
V 0.000 0.000 0.000
Ag 0.500 0.500 0.500
S 0.000 0.500 0.500
S 0.500 0.000 0.500
N 0.500 0.500 0.000

- uncorrected formation energy (kJ/mol of formula units) = 729.3
- ΔE to the lowest computed polymorph (eV per atom) = 1.393
- VASP energy (Ry/atom) = -0.30856
- calculated density (Mg/m³) = 4.33

=====

[7]
VASP calculation (PBE) on a relaxed structure of PrTl2Se2O6.

a = 5.783 Å, b = 5.783 Å, c = 7.732 Å
α = 102.83°, β = 102.83°, γ = 63.01°
Positions (direct):
Pr 0.000 0.000 0.000
Tl 0.229 0.229 0.593
Tl 0.771 0.771 0.407
Se 0.395 0.395 0.263
Se 0.605 0.605 0.737
O 0.250 0.250 0.086
O 0.275 0.717 0.223
O 0.283 0.725 0.777
O 0.717 0.275 0.223
O 0.725 0.283 0.777
O 0.750 0.750 0.914

- uncorrected formation energy (kJ/mol of formula units) = -1372.6
- VASP energy (Ry/atom) = -0.40395
- calculated density (Mg/m³) = 6.00